CaAlIr2 after structural relaxation, computed with PBEsol.

a = 6.3945 Å, b = 6.3945 Å, c = 6.3945 Å
α = 90.00°, β = 90.00°, γ = 90.00°
Last column: nearest neighbours and their distance in Å.
Space group F-43m (No. 216)
One atom of each set of equivalent atoms:
Ca  0.0000  0.0000  0.0000 [4 per cell]  4 Al 2.77, 4 Ir 2.77
Al  0.2500  0.2500  0.2500 [4 per cell]  4 Ca 2.77, 4 Ir 2.77
Ir  0.0000  0.0000  0.5000 [4 per cell]  4 Ir 2.77, 4 Al 2.77
Ir  0.2500  0.2500  0.7500 [4 per cell]  4 Ca 2.77, 4 Ir 2.77

Formation energy from the elements = 0.038 eV per atom
Density of states at the Fermi level = 5.62 states/eV/f.u.
Final energy = -6.430 eV/atom
Spin magnetization = 0.0 μB/f.u.
Theoretical density = 11.47 Mg/m³
Calculated volume = 16.342 Å³ per atom